Computed, not measured: crystalline CaPtF6 at its relaxed geometry at the PBE-GGA level of DFT.

The calculation puts the electronic total energy at -75.73 eV for the cell shown.

The space group is C2/m (No. 12) and the conventional cell measures 7.672, 6.257 and 5.319 Å, with angles of 90.00, 113.14 and 90.00 degrees. The inequivalent atoms are Ca at (0.000, 0.000, 0.000), Pt at (0.000, 0.500, 0.500), F at (0.081, 0.284, 0.793) and F at (0.232, 0.000, 0.449).

=====

Computed, not measured: crystalline Cr2NiAs at its relaxed geometry at the PBE-GGA level of DFT.

The formation enthalpy at 0 K comes out at 57 meV/atom. The calculation puts the electronic total energy at -29.45 eV for the cell shown.

The space group is Pmmm (No. 47) and the conventional cell measures 3.558, 3.583 and 3.841 Å, with angles of 90.00, 90.00 and 90.00 degrees. The inequivalent atoms are Cr at (0.000, 0.000, 0.000), Cr at (0.500, 0.500, 0.000), Ni at (0.000, 0.500, 0.500) and As at (0.500, 0.000, 0.500).

=====

Computed, not measured: crystalline GdDyFeCu at its relaxed geometry at the PBE-GGA level of DFT.

The formation enthalpy at 0 K comes out at -9 meV/atom. The calculation puts the electronic total energy at -125.12 eV for the cell shown.

The space group is F-43m (No. 216) and the conventional cell measures 6.857, 6.857 and 6.857 Å, with angles of 90.00, 90.00 and 90.00 degrees. The inequivalent atoms are Gd at (0.000, 0.000, 0.000), Dy at (0.000, 0.000, 0.500), Fe at (0.250, 0.250, 0.750) and Cu at (0.250, 0.250, 0.250).